## w
# CdHgCl2 | Alexandria via LeMat-Bulk | PBE | relaxed
data_CdHgCl2
_chemical_formula_sum 'Cd1 Hg1 Cl2'
_cell_length_a 4.0252
_cell_length_b 4.0941
_cell_length_c 6.6530
_cell_angle_alpha 90.00
_cell_angle_beta 90.00
_cell_angle_gamma 90.00
_symmetry_space_group_name_H-M 'P m m m'
_symmetry_Int_Tables_number 47
_symmetry_space_group_name_Hall '-P 2 2'
loop_
_atom_site_label
_atom_site_type_symbol
_atom_site_fract_x
_atom_site_fract_y
_atom_site_fract_z
_atom_site_occupancy
Cd1 Cd 0.0000 0.0000 0.0000 1
Hg1 Hg 0.0000 0.5000 0.5000 1
Cl1 Cl 0.5000 0.0000 0.5000 1
Cl2 Cl 0.5000 0.5000 0.0000 1
# Crystal system = orthorhombic
# DOS at the Fermi energy = 3.1 states/eV/f.u.



## x
# CdHgCl2 | Alexandria via LeMat-Bulk | PBE | relaxed
data_CdHgCl2
_chemical_formula_sum 'Cd3 Hg3 Cl6'
_cell_length_a 3.8752
_cell_length_b 3.8752
_cell_length_c 32.6527
_cell_angle_alpha 90.00
_cell_angle_beta 90.00
_cell_angle_gamma 120.00
_symmetry_space_group_name_H-M 'R -3 m'
_symmetry_Int_Tables_number 166
_symmetry_space_group_name_Hall '-R 3 2"'
loop_
_atom_site_label
_atom_site_type_symbol
_atom_site_fract_x
_atom_site_fract_y
_atom_site_fract_z
_atom_site_occupancy
Cd1 Cd 0.0000 0.0000 0.0000 1
Hg1 Hg 0.0000 0.0000 0.5000 1
Cl1 Cl 0.0000 0.0000 0.3779 1
# Crystal system = trigonal
# DOS at the Fermi energy = 0.0 states/eV/f.u.



Short version: x, w, most stable first.



## w
# CdHg2Cl | Alexandria via LeMat-Bulk | PBE | relaxed
data_CdHg2Cl
_chemical_formula_sum 'Cd2 Hg4 Cl2'
_cell_length_a 3.4743
_cell_length_b 4.8336
_cell_length_c 12.5465
_cell_angle_alpha 90.00
_cell_angle_beta 90.00
_cell_angle_gamma 90.00
_symmetry_space_group_name_H-M 'I m m m'
_symmetry_Int_Tables_number 71
_symmetry_space_group_name_Hall '-I 2 2'
loop_
_atom_site_label
_atom_site_type_symbol
_atom_site_fract_x
_atom_site_fract_y
_atom_site_fract_z
_atom_site_occupancy
Cd1 Cd 0.0000 0.0000 0.0000 1
Hg1 Hg 0.0000 0.5000 0.2954 1
Cl1 Cl 0.0000 0.0000 0.5000 1
# Crystal system = orthorhombic
# DOS at the Fermi energy = 0.9 states/eV/f.u.



## x
# CdHg2Cl | Alexandria via LeMat-Bulk | PBE | relaxed
data_CdHg2Cl
_chemical_formula_sum 'Cd3 Hg6 Cl3'
_cell_length_a 3.9800
_cell_length_b 3.9800
_cell_length_c 24.8379
_cell_angle_alpha 90.00
_cell_angle_beta 90.00
_cell_angle_gamma 120.00
_symmetry_space_group_name_H-M 'R 3 m'
_symmetry_Int_Tables_number 160
_symmetry_space_group_name_Hall 'R 3 -2"'
loop_
_atom_site_label
_atom_site_type_symbol
_atom_site_fract_x
_atom_site_fract_y
_atom_site_fract_z
_atom_site_occupancy
Cd1 Cd 0.0000 0.0000 0.0000 1
Hg1 Hg 0.0000 0.0000 0.4943 1
Hg2 Hg 0.0000 0.0000 0.7408 1
Cl1 Cl 0.0000 0.0000 0.2706 1
# Crystal system = trigonal
# DOS at the Fermi energy = 0.8 states/eV/f.u.



Short version: x, w, most stable first.



## w
# Cd2HgCl | Alexandria via LeMat-Bulk | PBE | relaxed
data_Cd2HgCl
_chemical_formula_sum 'Cd4 Hg2 Cl2'
_cell_length_a 4.8304
_cell_length_b 4.8304
_cell_length_c 8.6210
_cell_angle_alpha 90.00
_cell_angle_beta 90.00
_cell_angle_gamma 90.00
_symmetry_space_group_name_H-M 'I 4/m m m'
_symmetry_Int_Tables_number 139
_symmetry_space_group_name_Hall '-I 4 2'
loop_
_atom_site_label
_atom_site_type_symbol
_atom_site_fract_x
_atom_site_fract_y
_atom_site_fract_z
_atom_site_occupancy
Cd1 Cd 0.0000 0.5000 0.2500 1
Hg1 Hg 0.0000 0.0000 0.0000 1
Cl1 Cl 0.0000 0.0000 0.5000 1
# Crystal system = tetragonal
# DOS at the Fermi energy = 2.2 states/eV/f.u.



## x
# Cd2HgCl | Alexandria via LeMat-Bulk | PBE | relaxed
data_Cd2HgCl
_chemical_formula_sum 'Cd8 Hg4 Cl4'
_cell_length_a 7.4750
_cell_length_b 7.4750
_cell_length_c 7.4750
_cell_angle_alpha 90.00
_cell_angle_beta 90.00
_cell_angle_gamma 90.00
_symmetry_space_group_name_H-M 'F -4 3 m'
_symmetry_Int_Tables_number 216
_symmetry_space_group_name_Hall 'F -4 2 3'
loop_
_atom_site_label
_atom_site_type_symbol
_atom_site_fract_x
_atom_site_fract_y
_atom_site_fract_z
_atom_site_occupancy
Cd1 Cd 0.0000 0.0000 0.0000 1
Cd2 Cd 0.2500 0.2500 0.2500 1
Hg1 Hg 0.2500 0.2500 0.7500 1
Cl1 Cl 0.0000 0.0000 0.5000 1
# Crystal system = cubic
# DOS at the Fermi energy = 2.5 states/eV/f.u.



## y
# Cd2HgCl | Alexandria via LeMat-Bulk | PBE | relaxed
data_Cd2HgCl
_chemical_formula_sum 'Cd4 Hg2 Cl2'
_cell_length_a 4.0380
_cell_length_b 5.9908
_cell_length_c 8.3760
_cell_angle_alpha 90.00
_cell_angle_beta 90.00
_cell_angle_gamma 90.00
_symmetry_space_group_name_H-M 'C m m m'
_symmetry_Int_Tables_number 65
_symmetry_space_group_name_Hall '-C 2 2'
loop_
_atom_site_label
_atom_site_type_symbol
_atom_site_fract_x
_atom_site_fract_y
_atom_site_fract_z
_atom_site_occupancy
Cd1 Cd 0.0000 0.0000 0.2480 1
Hg1 Hg 0.0000 0.5000 0.5000 1
Cl1 Cl 0.0000 0.5000 0.0000 1
# Crystal system = orthorhombic
# DOS at the Fermi energy = 1.5 states/eV/f.u.



Short version: y, w, x, most stable first.



## w
# Cd2HgCl | Alexandria via LeMat-Bulk | PBE | relaxed
data_Cd2HgCl
_chemical_formula_sum 'Cd6 Hg3 Cl3'
_cell_length_a 3.7693
_cell_length_b 3.7693
_cell_length_c 24.6318
_cell_angle_alpha 90.00
_cell_angle_beta 90.00
_cell_angle_gamma 120.00
_symmetry_space_group_name_H-M 'R 3 m'
_symmetry_Int_Tables_number 160
_symmetry_space_group_name_Hall 'R 3 -2"'
loop_
_atom_site_label
_atom_site_type_symbol
_atom_site_fract_x
_atom_site_fract_y
_atom_site_fract_z
_atom_site_occupancy
Cd1 Cd 0.0000 0.0000 0.0000 1
Cd2 Cd 0.0000 0.0000 0.1684 1
Hg1 Hg 0.0000 0.0000 0.5839 1
Cl1 Cl 0.0000 0.0000 0.7563 1
# Crystal system = trigonal
# DOS at the Fermi energy = 1.6 states/eV/f.u.



## x
# Cd2HgCl | Alexandria via LeMat-Bulk | PBE | relaxed
data_Cd2HgCl
_chemical_formula_sum 'Cd4 Hg2 Cl2'
_cell_length_a 6.3227
_cell_length_b 8.5350
_cell_length_c 4.1724
_cell_angle_alpha 90.00
_cell_angle_beta 112.79
_cell_angle_gamma 90.00
_symmetry_space_group_name_H-M 'C 1 2/m 1'
_symmetry_Int_Tables_number 12
_symmetry_space_group_name_Hall '-C 2y'
loop_
_atom_site_label
_atom_site_type_symbol
_atom_site_fract_x
_atom_site_fract_y
_atom_site_fract_z
_atom_site_occupancy
Cd1 Cd 0.2500 0.2500 0.0000 1
Hg1 Hg 0.0000 0.0000 0.5000 1
Cl1 Cl 0.0000 0.5000 0.5000 1
# Crystal system = monoclinic
# DOS at the Fermi energy = 1.1 states/eV/f.u.



Short version: w, x, most stable first.



## w
# CdHgCl3 | Alexandria via LeMat-Bulk | PBE | relaxed
data_CdHgCl3
_chemical_formula_sum 'Cd1 Hg1 Cl3'
_cell_length_a 5.2773
_cell_length_b 5.2773
_cell_length_c 5.2773
_cell_angle_alpha 90.00
_cell_angle_beta 90.00
_cell_angle_gamma 90.00
_symmetry_space_group_name_H-M 'P m -3 m'
_symmetry_Int_Tables_number 221
_symmetry_space_group_name_Hall '-P 4 2 3'
loop_
_atom_site_label
_atom_site_type_symbol
_atom_site_fract_x
_atom_site_fract_y
_atom_site_fract_z
_atom_site_occupancy
Cd1 Cd 0.0000 0.0000 0.0000 1
Hg1 Hg 0.5000 0.5000 0.5000 1
Cl1 Cl 0.0000 0.5000 0.5000 1
# Crystal system = cubic
# DOS at the Fermi energy = 2.9 states/eV/f.u.



## x
# CdHgCl3 | Alexandria via LeMat-Bulk | PBE | relaxed
data_CdHgCl3
_chemical_formula_sum 'Cd1 Hg1 Cl3'
_cell_length_a 5.1730
_cell_length_b 5.1730
_cell_length_c 5.1730
_cell_angle_alpha 90.00
_cell_angle_beta 90.00
_cell_angle_gamma 90.00
_symmetry_space_group_name_H-M 'P m -3 m'
_symmetry_Int_Tables_number 221
_symmetry_space_group_name_Hall '-P 4 2 3'
loop_
_atom_site_label
_atom_site_type_symbol
_atom_site_fract_x
_atom_site_fract_y
_atom_site_fract_z
_atom_site_occupancy
Cd1 Cd 0.0000 0.0000 0.0000 1
Hg1 Hg 0.5000 0.5000 0.5000 1
Cl1 Cl 0.0000 0.0000 0.5000 1
# Crystal system = cubic
# DOS at the Fermi energy = 5.2 states/eV/f.u.



## y
# CdHgCl3 | Alexandria via LeMat-Bulk | PBE | relaxed
data_CdHgCl3
_chemical_formula_sum 'Cd4 Hg4 Cl12'
_cell_length_a 18.3109
_cell_length_b 3.7209
_cell_length_c 8.9360
_cell_angle_alpha 90.00
_cell_angle_beta 96.72
_cell_angle_gamma 90.00
_symmetry_space_group_name_H-M 'C 1 2/m 1'
_symmetry_Int_Tables_number 12
_symmetry_space_group_name_Hall '-C 2y'
loop_
_atom_site_label
_atom_site_type_symbol
_atom_site_fract_x
_atom_site_fract_y
_atom_site_fract_z
_atom_site_occupancy
Cd1 Cd 0.0977 0.0000 0.3075 1
Hg1 Hg 0.1594 0.5000 0.8239 1
Cl1 Cl 0.0014 0.5000 0.2208 1
Cl2 Cl 0.1540 0.5000 0.4895 1
Cl3 Cl 0.1826 0.0000 0.0983 1
# Crystal system = monoclinic
# DOS at the Fermi energy = 2.1 states/eV/f.u.



Short version: y, x, w, most stable first.



## w
# CdHgCl | Alexandria via LeMat-Bulk | PBE | relaxed
data_CdHgCl
_chemical_formula_sum 'Cd2 Hg2 Cl2'
_cell_length_a 3.5307
_cell_length_b 3.5307
_cell_length_c 12.1234
_cell_angle_alpha 90.00
_cell_angle_beta 90.00
_cell_angle_gamma 90.00
_symmetry_space_group_name_H-M 'I 4 m m'
_symmetry_Int_Tables_number 107
_symmetry_space_group_name_Hall 'I 4 -2'
loop_
_atom_site_label
_atom_site_type_symbol
_atom_site_fract_x
_atom_site_fract_y
_atom_site_fract_z
_atom_site_occupancy
Cd1 Cd 0.0000 0.0000 0.0000 1
Hg1 Hg 0.0000 0.0000 0.6519 1
Cl1 Cl 0.0000 0.0000 0.3682 1
# Crystal system = tetragonal
# DOS at the Fermi energy = 0.7 states/eV/f.u.



## x
# CdHgCl | Alexandria via LeMat-Bulk | PBE | relaxed
data_CdHgCl
_chemical_formula_sum 'Cd4 Hg4 Cl4'
_cell_length_a 15.4409
_cell_length_b 3.7010
_cell_length_c 6.3594
_cell_angle_alpha 90.00
_cell_angle_beta 90.00
_cell_angle_gamma 90.00
_symmetry_space_group_name_H-M 'A m m 2'
_symmetry_Int_Tables_number 38
_symmetry_space_group_name_Hall 'A 2 -2'
loop_
_atom_site_label
_atom_site_type_symbol
_atom_site_fract_x
_atom_site_fract_y
_atom_site_fract_z
_atom_site_occupancy
Cd1 Cd 0.0000 0.0000 0.0000 1
Cd2 Cd 0.5000 0.0000 0.2296 1
Hg1 Hg 0.3379 0.0000 0.8926 1
Cl1 Cl 0.1063 0.0000 0.3344 1
# Crystal system = orthorhombic
# DOS at the Fermi energy = 0.6 states/eV/f.u.



Short version: x, w, most stable first.